one) A relaxed structure of NaPrAu2, computed with GGA-PBE.

abc: 7.443 7.443 7.443
angles: 33.19 33.19 33.19
Fractional positions:
Na 0.000 0.000 0.000
Pr 0.827 0.827 0.827
Au 0.250 0.250 0.250
Au 0.409 0.409 0.409

=====

two) A relaxed structure of NaPrAu2, computed with GGA-PBE.

abc: 7.519 7.519 7.519
angles: 32.97 32.97 32.97
Fractional positions:
Na 0.000 0.000 0.000
Pr 0.500 0.500 0.500
Au 0.250 0.250 0.250
Au 0.750 0.750 0.750

=====

Ordering by calculated energy gives the sequence one), two), with the first entry being the most stable.

=====

one) A relaxed structure of NaPrAu3, computed with GGA-PBE.

abc: 5.072 7.284 7.432
angles: 90.00 90.60 90.00
Fractional positions:
Na 0.237 0.250 0.288
Na 0.763 0.750 0.712
Pr 0.248 0.250 0.776
Pr 0.752 0.750 0.224
Au 0.251 0.561 0.046
Au 0.251 0.939 0.046
Au 0.256 0.750 0.455
Au 0.744 0.250 0.545
Au 0.749 0.061 0.954
Au 0.749 0.439 0.954

=====

two) A relaxed structure of NaPrAu3, computed with GGA-PBE.

abc: 13.802 13.802 4.813
angles: 90.00 90.00 164.81
Fractional positions:
Na 0.212 0.788 0.750
Na 0.788 0.212 0.250
Pr 0.075 0.925 0.250
Pr 0.925 0.075 0.750
Au 0.325 0.675 0.750
Au 0.376 0.624 0.250
Au 0.476 0.524 0.250
Au 0.524 0.476 0.750
Au 0.624 0.376 0.750
Au 0.675 0.325 0.250

=====

Ordering by calculated energy gives the sequence two), one), with the first entry being the most stable.

=====

one) A relaxed structure of NaPt2Au2, computed with GGA-PBE.

abc: 6.202 6.202 6.202
angles: 137.17 137.17 62.18
Fractional positions:
Na 0.000 0.000 0.000
Pt 0.385 0.385 0.000
Pt 0.615 0.615 0.000
Au 0.250 0.750 0.500
Au 0.750 0.250 0.500

=====

two) A relaxed structure of NaPt2Au2, computed with GGA-PBE.

abc: 8.171 8.171 2.817
angles: 90.00 90.00 90.00
Fractional positions:
Na 0.000 0.000 0.000
Na 0.500 0.500 0.000
Pt 0.118 0.382 0.000
Pt 0.382 0.882 0.000
Pt 0.618 0.118 0.000
Pt 0.882 0.618 0.000
Au 0.180 0.680 0.500
Au 0.320 0.180 0.500
Au 0.680 0.820 0.500
Au 0.820 0.320 0.500

=====

Ordering by calculated energy gives the sequence two), one), with the first entry being the most stable.

=====

one) A relaxed structure of NaPtAu3, computed with GGA-PBE.

abc: 5.141 5.141 5.141
angles: 90.00 90.00 90.00
Fractional positions:
Na 0.000 0.000 0.000
Pt 0.500 0.500 0.500
Au 0.000 0.500 0.500
Au 0.500 0.000 0.500
Au 0.500 0.500 0.000

=====

two) A relaxed structure of NaPtAu3, computed with GGA-PBE.

abc: 4.736 4.736 4.736
angles: 90.00 90.00 90.00
Fractional positions:
Na 0.000 0.000 0.000
Pt 0.500 0.500 0.500
Au 0.000 0.000 0.500
Au 0.000 0.500 0.000
Au 0.500 0.000 0.000

=====

Ordering by calculated energy gives the sequence one), two), with the first entry being the most stable.

=====

one) A relaxed structure of NaPuAu, computed with GGA-PBE.

abc: 7.372 7.372 7.372
angles: 153.57 153.57 37.73
Fractional positions:
Na 0.000 0.000 0.000
Pu 0.280 0.280 0.000
Au 0.642 0.642 0.000

=====

two) A relaxed structure of NaPuAu, computed with GGA-PBE.

abc: 4.802 4.802 7.575
angles: 90.00 90.00 90.00
Fractional positions:
Na 0.250 0.750 0.000
Na 0.750 0.250 0.000
Pu 0.250 0.750 0.500
Pu 0.750 0.250 0.500
Au 0.250 0.250 0.255
Au 0.750 0.750 0.745

=====

Ordering by calculated energy gives the sequence two), one), with the first entry being the most stable.

=====

one) A relaxed structure of NaPuAu4, computed with GGA-PBE.

abc: 3.034 4.924 8.401
angles: 90.00 90.10 90.00
Fractional positions:
Na 0.000 0.000 0.000
Pu 0.000 0.500 0.500
Au 0.498 0.500 0.167
Au 0.500 0.000 0.331
Au 0.500 0.000 0.669
Au 0.502 0.500 0.833

=====

two) A relaxed structure of NaPuAu4, computed with GGA-PBE.

abc: 5.649 5.649 5.649
angles: 60.00 60.00 60.00
Fractional positions:
Na 0.000 0.000 0.000
Pu 0.250 0.250 0.250
Au 0.124 0.625 0.625
Au 0.625 0.124 0.625
Au 0.625 0.625 0.124
Au 0.625 0.625 0.625

=====

Ordering by calculated energy gives the sequence one), two), with the first entry being the most stable.